A relaxed structure of BaPm2SeO8. Source: Alexandria, functional PBE.

```
12
Lattice="-3.4180 -4.3116 0.1841 2.7795 -0.1746 -4.7881 3.4713 -5.0656 3.4128" Properties=species:S:1:pos:R:3 pbc="T T T"
Ba 1.7357 -2.5328 1.7064
Pm 3.3489 -5.7802 0.1112
Pm -0.5160 -3.7716 -1.3024
Se 0.0000 0.0000 0.0000
O 2.3213 -1.0449 -3.2099
O 2.7222 -7.9351 -0.2423
O -1.6799 -4.4574 0.5813
O 0.5115 -8.5068 2.0187
O 0.1106 -1.6167 -0.9489
O 4.5127 -5.0943 -1.7725
O 1.6810 -4.7750 -1.3071
O 1.1518 -4.7767 0.1159
```

Results
* total energy: -79.8 eV per cell
* magnetization: 0.00 μB per formula unit
* formation energy without anion corrections: -2.106 eV/atom